Record 1
Ba3MgTc2N6 after structural relaxation, computed with PBE.

Output
* magnetic moment: 0.000 μB per cell
* density: 5.08 g cm⁻³
* E: -84.94 eV per cell

Cell and atoms, written as CIF:
```
data_Ba3MgTc2N6
_cell_length_a 6.1349
_cell_length_b 6.1349
_cell_length_c 7.1873
_cell_angle_alpha 90.00
_cell_angle_beta 90.00
_cell_angle_gamma 120.00
_symmetry_space_group_name_H-M 'P -3 m 1'
_symmetry_Int_Tables_number 164
_symmetry_space_group_name_Hall '-P 3 2"'
loop_
_atom_site_label
_atom_site_type_symbol
_atom_site_fract_x
_atom_site_fract_y
_atom_site_fract_z
_atom_site_occupancy
Ba1 Ba 0.0000 0.0000 0.0000 1
Ba2 Ba 0.3333 0.6667 0.6934 1
Mg1 Mg 0.0000 0.0000 0.5000 1
Tc1 Tc 0.3333 0.6667 0.2441 1
N1 N 0.1695 0.3389 0.3036 1
```

=====

Record 2
Ba2MgTcN4 after structural relaxation, computed with PBE.

Output
* magnetic moment: 0.000 μB per cell
* density: 4.91 g cm⁻³
* E: -416.68 eV per cell

Cell and atoms, written as CIF:
```
data_Ba2MgTcN4
_cell_length_a 5.128
_cell_length_b 11.774
_cell_length_c 20.298
_cell_angle_alpha 90.00
_cell_angle_beta 90.00
_cell_angle_gamma 90.00
_symmetry_space_group_name_H-M 'F d d d'
_symmetry_Int_Tables_number 70
loop_
_symmetry_equiv_pos_as_xyz
'x,y,z'
'-x,-y,-z'
'-x+1/4,-y+1/4,z'
'x+1/4,y+1/4,-z'
'x,-y+1/4,-z+1/4'
'-x,y+1/4,z+1/4'
'-x+1/4,y,-z+1/4'
'x+1/4,-y,z+1/4'
'x,y+1/2,z+1/2'
'-x,-y+1/2,-z+1/2'
'-x+1/4,-y+3/4,z+1/2'
'x+1/4,y+3/4,-z+1/2'
'x,-y+3/4,-z+3/4'
'-x,y+3/4,z+3/4'
'-x+1/4,y+1/2,-z+3/4'
'x+1/4,-y+1/2,z+3/4'
'x+1/2,y,z+1/2'
'-x+1/2,-y,-z+1/2'
'-x+3/4,-y+1/4,z+1/2'
'x+3/4,y+1/4,-z+1/2'
'x+1/2,-y+1/4,-z+3/4'
'-x+1/2,y+1/4,z+3/4'
'-x+3/4,y,-z+3/4'
'x+3/4,-y,z+3/4'
'x+1/2,y+1/2,z'
'-x+1/2,-y+1/2,-z'
'-x+3/4,-y+3/4,z'
'x+3/4,y+3/4,-z'
'x+1/2,-y+3/4,-z+1/4'
'-x+1/2,y+3/4,z+1/4'
'-x+3/4,y+1/2,-z+1/4'
'x+3/4,-y+1/2,z+1/4'
loop_
_atom_site_label
_atom_site_type_symbol
_atom_site_fract_x
_atom_site_fract_y
_atom_site_fract_z
_atom_site_occupancy
Ba1 Ba 0.125 0.125 0.301 1
Mg1 Mg 0.125 0.125 0.125 1
Tc1 Tc 0.125 0.125 0.625 1
N1 N 0.099 0.280 0.827 1
```

=====

Look up the density of the first one.
5.08 g cm⁻³

=====

Look up the E of the first one.
-84.94 eV per cell

=====

The highest density belongs to which entry?
Ba3MgTc2N6